DFT (PBE-GGA) results for a relaxed Hf2Ti3In2 crystal.

abc: 3.463 5.943 7.316
angles: 102.90 89.98 106.94
Fractional coordinates of all 7 atoms:
In 0.145 0.291 0.407
In 0.855 0.709 0.593
Hf 0.418 0.836 0.276
Hf 0.582 0.164 0.724
Ti 0.000 0.000 0.000
Ti 0.709 0.419 0.115
Ti 0.291 0.581 0.885

Energy relative to the lowest polymorph listed for this composition ... 0 meV/atom
Electronic total energy ... -7.087 eV/atom
E_form ... -0.077 eV per atom
Total magnetic moment ... 0.00 Bohr magnetons per cell
Space group ... No. 12